The following is a DFT calculation (GGA-PBE) of an optimized crystal structure of Zr4Bi.

## Properties
Energy above the lowest structure with this stoichiometry, meV per atom: 0.0
Calculated volume, Å³/atom: 23.120
DFT formation energy, eV per atom: -0.091
Space-group type: No. 74
Raw total energy, eV for the cell shown: -77.1

extended XYZ file:
```
10
Lattice="-2.530 3.048 7.495 2.530 -3.048 7.495 2.530 3.048 -7.495" Properties=species:S:1:pos:R:3 pbc="T T T"
Zr 0.000 0.000 0.000
Zr 0.000 0.065 2.962
Zr 2.530 0.065 4.533
Zr 2.530 1.524 1.494
Zr 0.000 3.048 0.000
Zr 0.000 1.524 6.001
Zr 0.000 2.982 2.962
Zr 2.530 2.982 4.533
Bi 2.530 1.524 -1.643
Bi 0.000 1.524 9.138
```

---

The following is a DFT calculation (GGA-PBE) of an optimized crystal structure of Zr8Bi13.

## Properties
Calculated volume, Å³/atom: 26.802
DFT formation energy, eV per atom: -0.309
Space-group type: No. 116
Raw total energy, eV for the cell shown: -501.3

extended XYZ file:
```
84
Lattice="7.031 0.000 0.000 0.000 7.031 0.000 0.000 0.000 45.539" Properties=species:S:1:pos:R:3 pbc="T T T"
Zr 0.000 0.000 0.000
Zr 0.000 0.000 5.582
Zr 0.000 0.000 11.385
Zr 0.000 0.000 17.188
Zr 0.000 0.000 22.770
Zr 0.000 0.000 28.351
Zr 0.000 0.000 34.154
Zr 0.000 0.000 39.957
Zr 0.000 3.516 1.512
Zr 0.000 3.516 7.079
Zr 0.000 3.516 12.681
Zr 0.000 3.516 18.579
Zr 0.000 3.516 24.282
Zr 0.000 3.516 29.848
Zr 0.000 3.516 35.451
Zr 0.000 3.516 41.348
Zr 3.516 0.000 4.191
Zr 3.516 0.000 10.088
Zr 3.516 0.000 15.691
Zr 3.516 0.000 21.257
Zr 3.516 0.000 26.960
Zr 3.516 0.000 32.858
Zr 3.516 0.000 38.460
Zr 3.516 0.000 44.027
Zr 3.516 3.516 2.967
Zr 3.516 3.516 8.604
Zr 3.516 3.516 14.166
Zr 3.516 3.516 19.802
Zr 3.516 3.516 25.737
Zr 3.516 3.516 31.373
Zr 3.516 3.516 36.935
Zr 3.516 3.516 42.572
Bi 1.091 1.705 14.875
Bi 1.091 5.326 37.644
Bi 1.101 2.109 32.419
Bi 1.101 4.922 9.649
Bi 1.126 1.315 42.903
Bi 1.126 5.716 20.134
Bi 1.242 2.361 4.374
Bi 1.242 4.671 27.143
Bi 1.315 1.126 25.405
Bi 1.315 5.905 2.636
Bi 1.602 2.430 21.865
Bi 1.602 4.601 44.634
Bi 1.705 1.091 7.895
Bi 1.705 5.940 30.664
Bi 2.013 2.429 39.436
Bi 2.013 4.602 16.666
Bi 2.109 1.101 35.890
Bi 2.109 5.930 13.120
Bi 2.325 2.325 11.385
Bi 2.325 4.707 34.154
Bi 2.361 1.242 18.396
Bi 2.361 5.789 41.165
Bi 2.430 1.602 0.905
Bi 2.429 2.013 28.873
Bi 2.429 5.019 6.103
Bi 2.430 5.430 23.674
Bi 4.601 1.602 23.674
Bi 4.602 2.013 6.103
Bi 4.602 5.019 28.873
Bi 4.601 5.430 0.905
Bi 4.671 1.242 41.165
Bi 4.671 5.789 18.396
Bi 4.707 2.325 34.154
Bi 4.707 4.707 11.385
Bi 4.922 1.101 13.120
Bi 4.922 5.930 35.890
Bi 5.019 2.429 16.666
Bi 5.019 4.602 39.436
Bi 5.326 1.091 30.664
Bi 5.326 5.940 7.895
Bi 5.430 2.430 44.634
Bi 5.430 4.601 21.865
Bi 5.716 1.126 2.636
Bi 5.716 5.905 25.405
Bi 5.789 2.361 27.143
Bi 5.789 4.671 4.374
Bi 5.905 1.315 20.134
Bi 5.905 5.716 42.903
Bi 5.930 2.109 9.649
Bi 5.930 4.922 32.419
Bi 5.940 1.705 37.644
Bi 5.940 5.326 14.875
```

---

The following is a DFT calculation (GGA-PBE) of an optimized crystal structure of Zr5Bi2.

## Properties
Energy above the lowest structure with this stoichiometry, meV per atom: 60.5
Calculated volume, Å³/atom: 24.307
DFT formation energy, eV per atom: -0.155
Space-group type: No. 15
Raw total energy, eV for the cell shown: -103.2

extended XYZ file:
```
14
Lattice="7.296 -2.904 0.000 7.296 2.904 0.000 -0.345 0.000 8.029" Properties=species:S:1:pos:R:3 pbc="T T T"
Zr 3.186 0.614 2.422
Zr 7.038 1.673 6.022
Zr 5.584 0.939 0.375
Zr 3.014 -0.614 6.437
Zr 8.836 0.939 3.640
Zr 5.412 -0.939 4.390
Zr 11.234 0.614 1.592
Zr 8.664 -0.939 7.654
Zr 7.210 -1.673 2.007
Zr 11.062 -0.614 5.607
Bi 5.779 1.844 3.328
Bi 8.641 1.844 0.687
Bi 5.607 -1.844 7.343
Bi 8.469 -1.844 4.702
```

---

The following is a DFT calculation (GGA-PBE) of an optimized crystal structure of Br.

## Properties
Energy above the lowest structure with this stoichiometry, meV per atom: 548.6
Calculated volume, Å³/atom: 28.544
Space-group type: No. 194
Raw total energy, eV for the cell shown: -2.2

extended XYZ file:
```
2
Lattice="3.905 0.000 0.000 -1.953 3.382 0.000 0.000 0.000 4.322" Properties=species:S:1:pos:R:3 pbc="T T T"
Br 0.000 2.255 1.081
Br 1.953 1.127 3.242
```